# Tb2TmZn5

Crystalline Tb2TmZn5 at its relaxed geometry (PBE, the Alexandria database).

Lattice parameters (Å, degrees): 4.795 4.795 7.836 107.81 107.81 90.00
Element x y z (fractional)
Tb 0.734 0.734 0.468
Tb 0.266 0.266 0.532
Tm 0.000 0.000 0.000
Zn 0.500 0.500 0.000
Zn 0.888 0.388 0.775
Zn 0.388 0.888 0.775
Zn 0.112 0.612 0.225
Zn 0.612 0.112 0.225

Properties
Calculated volume   20.300 Å³/atom
M_tot   0.00 μB per atom
Space group   I4/mmm (139)
Formation energy   -2.45 eV per formula unit
Raw total energy   -2.819 eV/atom